# 1
Computed, not measured: Li2RhN2 after structural relaxation at the GGA-PBE level of DFT.

Values from the calculation:
Magnetic moment   0.00 μB/cell
Polymorph energy (0 for the lowest one)   0 meV per atom
DFT total energy   -5.7858 eV/atom
Formation energy (no corrections)   -220 meV per atom
Density of states at the Fermi level   2.63 states/eV/cell

a b c (Å): 5.057 5.057 3.568
angles (deg): 90.00 90.00 90.00
Atoms (fractional coordinates):
Li 0.177 0.323 0.000
Li 0.323 0.823 0.000
Li 0.677 0.177 0.000
Li 0.823 0.677 0.000
Rh 0.000 0.000 0.500
Rh 0.500 0.500 0.500
N 0.099 0.599 0.500
N 0.401 0.099 0.500
N 0.599 0.901 0.500
N 0.901 0.401 0.500

# 2
Computed, not measured: PmSeBrO4 after structural relaxation at the GGA-PBE level of DFT.

Values from the calculation:
Magnetic moment   0.00 μB/cell
DFT total energy   -5.8599 eV/atom
Formation energy (no corrections)   -1611 meV per atom
Density of states at the Fermi level   0.00 states/eV/cell

a b c (Å): 6.368 6.368 6.872
angles (deg): 101.55 101.55 70.04
Atoms (fractional coordinates):
Pm 0.231 0.231 0.135
Pm 0.769 0.769 0.865
Se 0.364 0.364 0.735
Se 0.636 0.636 0.265
Br 0.021 0.021 0.756
Br 0.979 0.979 0.244
O 0.137 0.488 0.860
O 0.286 0.286 0.496
O 0.474 0.474 0.233
O 0.488 0.137 0.860
O 0.512 0.863 0.140
O 0.526 0.526 0.767
O 0.714 0.714 0.504
O 0.863 0.512 0.140

# 3
Computed, not measured: ScCd3Hg after structural relaxation at the GGA-PBE level of DFT.

Values from the calculation:
Magnetic moment   0.00 μB/cell
Polymorph energy (0 for the lowest one)   0 meV per atom
Formation enthalpy at 0 K   -0.09 eV/atom
DFT total energy   -1.9677 eV/atom
Density of states at the Fermi level   7.18 states/eV/cell

a b c (Å): 15.812 15.812 3.162
angles (deg): 90.00 90.00 162.61
Atoms (fractional coordinates):
Sc 0.178 0.822 0.000
Sc 0.822 0.178 0.000
Cd 0.082 0.918 0.500
Cd 0.271 0.729 0.500
Cd 0.454 0.546 0.000
Cd 0.546 0.454 0.000
Cd 0.729 0.271 0.500
Cd 0.918 0.082 0.500
Hg 0.363 0.637 0.500
Hg 0.637 0.363 0.500

# 4
Computed, not measured: CsRbGa2 after structural relaxation at the GGA-PBE level of DFT.

Values from the calculation:
Magnetic moment   0.00 μB/cell
Polymorph energy (0 for the lowest one)   392 meV per atom
Formation enthalpy at 0 K   0.34 eV/atom
DFT total energy   -1.6319 eV/atom
Density of states at the Fermi level   3.60 states/eV/cell

a b c (Å): 6.159 6.159 6.159
angles (deg): 60.00 60.00 60.00
Atoms (fractional coordinates):
Cs 0.000 0.000 0.000
Rb 0.500 0.500 0.500
Ga 0.250 0.250 0.250
Ga 0.750 0.750 0.750

# 5
Computed, not measured: Sr2In5Ni3 after structural relaxation at the GGA-PBE level of DFT.

Values from the calculation:
Magnetic moment   0.00 μB/cell
Formation enthalpy at 0 K   -0.22 eV/atom
DFT total energy   -3.6648 eV/atom
Density of states at the Fermi level   13.88 states/eV/cell

a b c (Å): 13.442 13.442 7.415
angles (deg): 90.00 90.00 160.55
Atoms (fractional coordinates):
Sr 0.027 0.973 0.500
Sr 0.325 0.675 0.571
Sr 0.675 0.325 0.071
Sr 0.973 0.027 0.000
In 0.096 0.904 0.881
In 0.206 0.794 0.379
In 0.212 0.788 0.778
In 0.371 0.629 0.043
In 0.448 0.552 0.673
In 0.552 0.448 0.173
In 0.629 0.371 0.543
In 0.788 0.212 0.278
In 0.794 0.206 0.879
In 0.904 0.096 0.381
Ni 0.110 0.890 0.245
Ni 0.270 0.730 0.082
Ni 0.450 0.550 0.293
Ni 0.550 0.450 0.793
Ni 0.730 0.270 0.582
Ni 0.890 0.110 0.745

# 6
Computed, not measured: BaHgSe2N after structural relaxation at the GGA-PBE level of DFT.

Values from the calculation:
Magnetic moment   5.01 μB/cell
Polymorph energy (0 for the lowest one)   697 meV per atom
DFT total energy   -2.7468 eV/atom
Formation energy (no corrections)   757 meV per atom
Density of states at the Fermi level   5.92 states/eV/cell

a b c (Å): 6.473 6.473 5.415
angles (deg): 90.00 90.00 90.00
Atoms (fractional coordinates):
Ba 0.000 0.000 0.000
Hg 0.500 0.500 0.500
Se 0.000 0.500 0.000
Se 0.500 0.000 0.000
N 0.000 0.000 0.500